An optimized crystal structure of Li2AcSn. Source: Alexandria, functional PBE.

Formation energy from the elements in kJ/mol of formula units: 56
E_tot in eV per cell: -11.35

a = 11.400 Å, b = 11.400 Å, c = 11.400 Å
α = 17.81°, β = 17.81°, γ = 17.81°
Positions (direct):
Li1 0.102 0.102 0.102
Li2 0.898 0.898 0.898
Ac1 0.000 0.000 0.000
Sn1 0.500 0.500 0.500

***

An optimized crystal structure of NaTaI2N. Source: Alexandria, functional PBE.

E_tot in eV per cell: -15.70

a = 5.421 Å, b = 5.421 Å, c = 4.046 Å
α = 90.00°, β = 90.00°, γ = 90.00°
Positions (direct):
Na1 0.000 0.000 0.000
Ta1 0.500 0.500 0.500
I1 0.000 0.500 0.000
I2 0.500 0.000 0.000
N1 0.000 0.000 0.500

***

An optimized crystal structure of Tb2P4IrRh3. Source: Alexandria, functional PBE.

Formation energy from the elements in kJ/mol of formula units: -1021
E_tot in eV per cell: -72.40

a = 4.114 Å, b = 4.114 Å, c = 9.549 Å
α = 90.00°, β = 90.00°, γ = 90.00°
Positions (direct):
Tb1 0.000 0.500 0.242
Tb2 0.500 0.000 0.758
P1 0.000 0.000 0.000
P2 0.000 0.500 0.641
P3 0.500 0.000 0.359
P4 0.500 0.500 0.000
Ir1 0.000 0.000 0.500
Rh1 0.000 0.500 0.885
Rh2 0.500 0.000 0.115
Rh3 0.500 0.500 0.500

***

An optimized crystal structure of Cs2Tl2RhCl6. Source: Alexandria, functional PBE.

E_tot in eV per cell: -37.37

a = 8.004 Å, b = 8.004 Å, c = 7.566 Å
α = 98.72°, β = 98.72°, γ = 116.34°
Positions (direct):
Cs1 0.156 0.844 0.000
Cs2 0.844 0.156 0.000
Tl1 0.343 0.657 0.500
Tl2 0.657 0.343 0.500
Rh1 0.500 0.500 0.000
Cl1 0.203 0.450 0.813
Cl2 0.311 0.311 0.256
Cl3 0.450 0.203 0.813
Cl4 0.550 0.797 0.187
Cl5 0.689 0.689 0.744
Cl6 0.797 0.550 0.187

***

An optimized crystal structure of Cs8Rb3Au2. Source: Alexandria, functional PBE.

Formation energy from the elements in kJ/mol of formula units: -115
E_tot in eV per cell: -17.48

a = 13.774 Å, b = 5.715 Å, c = 13.793 Å
α = 90.00°, β = 92.39°, γ = 90.00°
Positions (direct):
Cs1 0.072 0.000 0.274
Cs2 0.171 0.500 0.978
Cs3 0.354 0.500 0.256
Cs4 0.412 0.000 0.864
Cs5 0.588 0.000 0.136
Cs6 0.646 0.500 0.744
Cs7 0.829 0.500 0.022
Cs8 0.928 0.000 0.726
Rb1 0.210 0.500 0.591
Rb2 0.500 0.000 0.500
Rb3 0.790 0.500 0.409
Au1 0.293 0.000 0.105
Au2 0.707 0.000 0.895

***

An optimized crystal structure of SbAs3F. Source: Alexandria, functional PBE.

E_tot in eV per cell: -18.71

a = 4.656 Å, b = 4.656 Å, c = 4.656 Å
α = 90.00°, β = 90.00°, γ = 90.00°
Positions (direct):
Sb1 0.000 0.000 0.000
As1 0.000 0.500 0.500
As2 0.500 0.000 0.500
As3 0.500 0.500 0.000
F1 0.500 0.500 0.500

***

- What is the formula in the fourth record?
  Cs2Tl2RhCl6

***

- What is the E_tot in the fourth record?
  -37.37 eV per cell

***

- Which value of E_tot does entry 5 give?
  -17.48 eV per cell

***

- Which value of E_tot does entry 5 give?
  -17.48 eV per cell